[1]
Material: ZnTc
Method: DFT, GGA-PBE
State: relaxed

abc: 2.7472 2.7472 4.4264
angles: 90.00 90.00 120.00
Space group P-6m2 (No. 187)
Symmetry-distinct sites (fractional):
Zn: 0.0000 0.0000 0.0000
Tc: 0.6667 0.3333 0.5000

Output
Calculated formation energy: 0.155 eV/atom

[2]
Material: NiBiPb2
Method: DFT, GGA-PBE
State: relaxed

abc: 6.100 6.100 14.344
angles: 90.00 90.00 90.00
Space group I-42d (No. 122)
Symmetry-distinct sites (fractional):
Ni: 0.000 0.000 0.000
Bi: 0.000 0.000 0.500
Pb: 0.166 0.250 0.125

Output
Calculated formation energy: 0.340 eV/atom

[3]
Material: MgTaAs2
Method: DFT, GGA-PBE
State: relaxed

abc: 3.809 4.966 7.485
angles: 90.00 90.00 90.00
Space group Immm (No. 71)
Symmetry-distinct sites (fractional):
Mg: 0.000 0.000 0.000
Ta: 0.000 0.000 0.500
As: 0.000 0.500 0.257

Output
Calculated formation energy: -0.084 eV/atom

[4]
Material: Re2AgSb
Method: DFT, GGA-PBE
State: relaxed

abc: 9.141 3.031 5.074
angles: 90.00 98.63 90.00
Space group Cm (No. 8)
Symmetry-distinct sites (fractional):
Re: 0.000 0.000 0.000
Re: 0.234 0.500 0.190
Ag: 0.249 0.000 0.723
Sb: 0.485 0.000 0.465

Output
Formation energy from raw total energies: 2.81 eV/f.u.

[5]
Material: KAs2Se
Method: DFT, GGA-PBE
State: relaxed

abc: 3.539 5.310 10.214
angles: 90.00 90.00 90.00
Space group Immm (No. 71)
Symmetry-distinct sites (fractional):
K: 0.000 0.000 0.000
As: 0.000 0.500 0.207
Se: 0.000 0.000 0.500

Output
Formation energy from raw total energies: -0.11 eV/f.u.

[6]
Material: TmSc3
Method: DFT, GGA-PBE
State: relaxed

abc: 4.693 4.693 4.693
angles: 90.00 90.00 90.00
Space group Pm-3m (No. 221)
Symmetry-distinct sites (fractional):
Tm: 0.000 0.000 0.000
Sc: 0.000 0.500 0.500

Output
Calculated formation energy: 0.054 eV/atom

Number 1: total magnetic moment 0.00 Bohr magnetons per cell, VASP energy -11.33 eV/f.u., D(E_F) 0.89 states/eV/atom. Number 2: total magnetic moment 0.00 Bohr magnetons per cell, VASP energy -15.72 eV/f.u., D(E_F) 0.76 states/eV/atom. Number 3: total magnetic moment 0.00 Bohr magnetons per cell, VASP energy -23.08 eV/f.u., D(E_F) 0.49 states/eV/atom. Number 4: total magnetic moment 0.00 Bohr magnetons per cell, VASP energy -29.06 eV/f.u., D(E_F) 0.73 states/eV/atom. Number 5: total magnetic moment 0.00 Bohr magnetons per cell, VASP energy -14.00 eV/f.u., D(E_F) 0.37 states/eV/atom. Number 6: total magnetic moment 0.00 Bohr magnetons per cell, VASP energy -23.25 eV/f.u., D(E_F) 1.92 states/eV/atom.